# 1
DFT (PBE) results for a relaxed structure of K4MgPa3O12.

Cell lengths 7.5205, 7.5205, 7.5205 Å; angles 109.47, 109.47, 109.47 degrees
With the nearest neighbours (Å) after each atom.
Positions (direct):
K1 0.0000 0.0000 0.5000  12 O 3.07
K2 0.0000 0.5000 0.0000  12 O 3.07
K3 0.5000 0.0000 0.0000  12 O 3.07
K4 0.5000 0.5000 0.5000  12 O 3.07
Mg1 0.0000 0.0000 0.0000  6 O 2.25
Pa1 0.0000 0.5000 0.5000  6 O 2.09-2.17
Pa2 0.5000 0.0000 0.5000  6 O 2.09-2.17
Pa3 0.5000 0.5000 0.0000  6 O 2.09-2.17
O1 0.0000 0.2592 0.2592  1 Pa 2.09, 1 Mg 2.25
O2 0.0000 0.7408 0.7408  1 Pa 2.09, 1 Mg 2.25
O3 0.2500 0.5000 0.7500  2 Pa 2.17
O4 0.2500 0.7500 0.5000  2 Pa 2.17
O5 0.2592 0.0000 0.2592  1 Pa 2.09, 1 Mg 2.25
O6 0.2592 0.2592 0.0000  1 Pa 2.09, 1 Mg 2.25
O7 0.5000 0.2500 0.7500  2 Pa 2.17
O8 0.5000 0.7500 0.2500  2 Pa 2.17
O9 0.7408 0.0000 0.7408  1 Pa 2.09, 1 Mg 2.25
O10 0.7408 0.7408 0.0000  1 Pa 2.09, 1 Mg 2.25
O11 0.7500 0.2500 0.5000  2 Pa 2.17
O12 0.7500 0.5000 0.2500  2 Pa 2.17

Formation energy without anion corrections = -51.88 eV/f.u.
Fermi-level density of states = 0.782 states/eV/atom
Raw total energy = -7.29 eV per atom

---

# 2
DFT (PBE) results for a relaxed structure of K3Mg2PaO6.

Cell lengths 6.2429, 6.2429, 7.1183 Å; angles 90.00, 90.00, 120.00 degrees
With the nearest neighbours (Å) after each atom.
Positions (direct):
K1 0.0000 0.0000 0.0000  6 O 2.79
K2 0.3333 0.6667 0.7222  1 Mg 3.09, 6 O 3.13
K3 0.6667 0.3333 0.2778  1 Mg 3.09, 6 O 3.13
Mg1 0.3333 0.6667 0.2881  3 O 1.88
Mg2 0.6667 0.3333 0.7119  3 O 1.88
Pa1 0.0000 0.0000 0.5000  6 O 2.20
O1 0.1597 0.3194 0.3080  1 Mg 1.88
O2 0.1597 0.8403 0.3080  1 Mg 1.88
O3 0.3194 0.1597 0.6920  1 Mg 1.88
O4 0.6806 0.8403 0.3080  1 Mg 1.88
O5 0.8403 0.1597 0.6920  1 Mg 1.88
O6 0.8403 0.6806 0.6920  1 Mg 1.88

Formation energy without anion corrections = -28.20 eV/f.u.
Fermi-level density of states = 0.000 states/eV/atom
Raw total energy = -6.16 eV per atom

---

# 3
DFT (PBE) results for a relaxed structure of K2MgPbO4.

Cell lengths 5.8781, 5.8781, 5.8781 Å; angles 118.68, 118.68, 92.31 degrees
With the nearest neighbours (Å) after each atom.
Positions (direct):
K1 0.0000 0.0000 0.0000  4 O 2.73
K2 0.7500 0.2500 0.5000  4 O 2.74
Mg1 0.5000 0.5000 0.0000  4 O 1.99
Pb1 0.2500 0.7500 0.5000  4 O 2.10
O1 0.2250 0.6279 0.0870  1 Mg 1.99, 1 Pb 2.10
O2 0.3721 0.4590 0.5971  1 Mg 1.99, 1 Pb 2.10
O3 0.5410 0.1381 0.9130  1 Mg 1.99, 1 Pb 2.10
O4 0.8619 0.7750 0.4029  1 Mg 1.99, 1 Pb 2.10

Formation energy without anion corrections = -12.56 eV/f.u.
Fermi-level density of states = 0.000 states/eV/atom
Raw total energy = -4.99 eV per atom